Model a:
{
  "formula": "Dy2Sc3Se6",
  "functional": "PBE-GGA",
  "state": "optimized geometry",
  "space_group": "R-3m (166)",
  "magnetic_moment_mub_per_fu": 0.00,
  "cell": [[-2.281, 1.931, -2.667], [-1.167, -1.855, -3.353], [-17.203, -6.350, 7.110]],
  "species": ["Se", "Se", "Se", "Se", "Se", "Se", "Sc", "Sc", "Sc", "Dy", "Dy"],
  "fractional_positions": [[0.078, 0.078, 0.765], [0.197, 0.197, 0.408], [0.922, 0.922, 0.235], [0.641, 0.641, 0.078], [0.803, 0.803, 0.592], [0.359, 0.359, 0.922], [0.718, 0.718, 0.847], [0.000, 0.000, 0.000], [0.282, 0.282, 0.153], [0.556, 0.556, 0.333], [0.444, 0.444, 0.667]]
}


Model b:
{
  "formula": "Dy2Sc3Se6",
  "functional": "PBE-GGA",
  "state": "optimized geometry",
  "space_group": "C2/m (12)",
  "magnetic_moment_mub_per_fu": 0.00,
  "cell": [[6.530, 0.000, 1.944], [3.265, 5.873, 0.972], [0.323, 0.000, 6.869]],
  "species": ["Sc", "Sc", "Sc", "Se", "Se", "Se", "Se", "Se", "Se", "Dy", "Dy"],
  "fractional_positions": [[0.333, 0.333, 0.000], [0.667, 0.667, 0.000], [0.000, 0.000, 0.000], [0.413, 0.673, 0.761], [0.261, 0.000, 0.242], [0.739, 0.000, 0.758], [0.086, 0.327, 0.761], [0.587, 0.327, 0.239], [0.914, 0.673, 0.239], [0.165, 0.669, 0.500], [0.835, 0.331, 0.500]]
}


Stability summary: most stable model b, least stable model a.


Model a:
{
  "formula": "Dy2ScSe",
  "functional": "PBE-GGA",
  "state": "optimized geometry",
  "space_group": "R3m (160)",
  "magnetic_moment_mub_per_fu": 0.10,
  "cell": [[-0.127, -3.704, -0.478], [2.455, -1.677, -2.264], [6.485, -2.895, 6.092]],
  "species": ["Se", "Dy", "Dy", "Sc"],
  "fractional_positions": [[0.667, 0.667, 0.999], [0.264, 0.264, 0.207], [0.069, 0.069, 0.792], [0.500, 0.500, 0.501]]
}


Model b:
{
  "formula": "Dy2ScSe",
  "functional": "PBE-GGA",
  "state": "optimized geometry",
  "space_group": "R-3m (166)",
  "magnetic_moment_mub_per_fu": 0.65,
  "cell": [[3.673, 0.000, 0.000], [1.837, 3.181, 0.000], [1.837, 1.060, 9.914]],
  "species": ["Se", "Dy", "Dy", "Sc"],
  "fractional_positions": [[0.500, 0.500, 0.500], [0.895, 0.895, 0.315], [0.105, 0.105, 0.685], [0.000, 0.000, 0.000]]
}


Stability summary: most stable model a, least stable model b.


Model a:
{
  "formula": "DySc2Si",
  "functional": "PBE-GGA",
  "state": "optimized geometry",
  "space_group": "P4/mmm (123)",
  "magnetic_moment_mub_per_fu": 0.57,
  "cell": [[4.437, 0.000, 0.000], [0.000, 4.407, 0.000], [0.000, 0.000, 4.407]],
  "species": ["Dy", "Si", "Sc", "Sc"],
  "fractional_positions": [[0.500, 0.000, 0.000], [0.500, 0.500, 0.500], [0.000, 0.500, 0.000], [0.000, 0.000, 0.500]]
}


Model b:
{
  "formula": "DySc2Si",
  "functional": "PBE-GGA",
  "state": "optimized geometry",
  "space_group": "R-3m (166)",
  "magnetic_moment_mub_per_fu": 0.00,
  "cell": [[-1.147, -1.056, 2.935], [-0.757, -3.207, 0.432], [9.025, -3.282, 4.227]],
  "species": ["Sc", "Sc", "Si", "Dy"],
  "fractional_positions": [[0.105, 0.105, 0.684], [0.895, 0.895, 0.316], [0.500, 0.500, 0.500], [0.000, 0.000, 0.000]]
}


Stability summary: most stable model a, least stable model b.


Model a:
{
  "formula": "Sm2DySc4",
  "functional": "PBE-GGA",
  "state": "optimized geometry",
  "space_group": "Cmmm (65)",
  "magnetic_moment_mub_per_fu": 0.00,
  "cell": [[-5.166, -0.251, 0.881], [0.136, -3.656, -0.243], [1.731, 1.205, 10.489]],
  "species": ["Sc", "Sc", "Sc", "Sc", "Sm", "Sm", "Dy"],
  "fractional_positions": [[0.000, 0.183, 0.366], [0.000, 0.817, 0.634], [0.500, 0.698, 0.396], [0.500, 0.302, 0.604], [0.500, 0.074, 0.148], [0.500, 0.926, 0.852], [0.000, 0.500, 0.000]]
}


Model b:
{
  "formula": "Sm2DySc4",
  "functional": "PBE-GGA",
  "state": "optimized geometry",
  "space_group": "Cmmm (65)",
  "magnetic_moment_mub_per_fu": 0.00,
  "cell": [[3.379, 0.000, 0.000], [0.000, 7.629, -1.100], [0.000, 1.344, 7.590]],
  "species": ["Sc", "Sc", "Sc", "Sc", "Dy", "Sm", "Sm"],
  "fractional_positions": [[0.500, 0.000, 0.500], [0.500, 0.500, 0.000], [0.000, 0.230, 0.230], [0.000, 0.770, 0.770], [0.500, 0.500, 0.500], [0.000, 0.195, 0.805], [0.000, 0.805, 0.195]]
}


Stability summary: most stable model b, least stable model a.


Model a:
{
  "formula": "Sm5Dy2Sc",
  "functional": "PBE-GGA",
  "state": "optimized geometry",
  "space_group": "P1 (1)",
  "magnetic_moment_mub_per_fu": 0.00,
  "cell": [[10.729, -3.056, 5.202], [-3.640, 8.938, 2.950], [3.133, 1.212, 8.796]],
  "species": ["Sm", "Sm", "Sm", "Sm", "Sm", "Sm", "Sm", "Sm", "Sm", "Sm", "Sc", "Sc", "Dy", "Dy", "Dy", "Dy"],
  "fractional_positions": [[0.276, 0.776, 0.571], [0.787, 0.786, 0.553], [0.408, 0.283, 0.808], [0.275, 0.276, 0.572], [0.531, 0.782, 0.063], [0.655, 0.279, 0.318], [0.407, 0.784, 0.808], [0.158, 0.283, 0.306], [0.904, 0.280, 0.818], [0.906, 0.780, 0.816], [0.029, 0.779, 0.066], [0.031, 0.281, 0.062], [0.654, 0.779, 0.318], [0.787, 0.287, 0.554], [0.158, 0.783, 0.307], [0.533, 0.282, 0.060]]
}


Model b:
{
  "formula": "Sm5Dy2Sc",
  "functional": "PBE-GGA",
  "state": "optimized geometry",
  "space_group": "Cmcm (63)",
  "magnetic_moment_mub_per_fu": 0.00,
  "cell": [[-2.697, -4.078, 2.595], [4.192, 3.346, 3.711], [-11.672, 10.236, 3.957]],
  "species": ["Sm", "Sm", "Sm", "Sm", "Sm", "Sm", "Sm", "Sm", "Sm", "Sm", "Dy", "Dy", "Dy", "Dy", "Sc", "Sc"],
  "fractional_positions": [[0.383, 0.765, 0.447], [0.921, 0.843, 0.907], [0.079, 0.157, 0.093], [0.532, 0.063, 0.250], [0.617, 0.235, 0.947], [0.617, 0.235, 0.553], [0.468, 0.937, 0.750], [0.921, 0.843, 0.593], [0.079, 0.157, 0.407], [0.383, 0.765, 0.053], [0.775, 0.550, 0.136], [0.775, 0.550, 0.364], [0.225, 0.450, 0.636], [0.225, 0.450, 0.864], [0.743, 0.487, 0.750], [0.257, 0.513, 0.250]]
}


Stability summary: most stable model a, least stable model b.


Model a:
{
  "formula": "Sm4Dy4Sc",
  "functional": "PBE-GGA",
  "state": "optimized geometry",
  "space_group": "I4/mmm (139)",
  "magnetic_moment_mub_per_fu": 0.00,
  "cell": [[5.019, 0.000, 0.000], [2.510, 7.536, 0.000], [2.510, 0.000, 7.536]],
  "species": ["Dy", "Dy", "Dy", "Dy", "Sc", "Sm", "Sm", "Sm", "Sm"],
  "fractional_positions": [[0.664, 0.000, 0.672], [0.336, 0.328, 0.000], [0.664, 0.672, 0.000], [0.336, 0.000, 0.328], [0.000, 0.000, 0.000], [0.670, 0.330, 0.330], [0.000, 0.330, 0.670], [0.330, 0.670, 0.670], [0.000, 0.670, 0.330]]
}


Model b:
{
  "formula": "Sm4Dy4Sc",
  "functional": "PBE-GGA",
  "state": "optimized geometry",
  "space_group": "I-42m (121)",
  "magnetic_moment_mub_per_fu": 1.40,
  "cell": [[-3.654, 3.141, -2.171], [-3.818, -3.030, 2.042], [3.667, 6.538, 9.719]],
  "species": ["Sm", "Sm", "Sm", "Sm", "Dy", "Dy", "Dy", "Dy", "Sc"],
  "fractional_positions": [[0.627, 0.627, 0.748], [0.373, 0.879, 0.252], [0.879, 0.373, 0.252], [0.121, 0.121, 0.748], [0.748, 0.748, 0.496], [0.000, 0.500, 0.000], [0.252, 0.252, 0.504], [0.500, 0.000, 0.000], [0.000, 0.000, 0.000]]
}


Stability summary: most stable model a, least stable model b.


Model a:
{
  "formula": "Sm6Dy8Sc",
  "functional": "PBE-GGA",
  "state": "optimized geometry",
  "space_group": "R-3 (148)",
  "magnetic_moment_mub_per_fu": 0.00,
  "cell": [[-3.044, 0.849, 8.030], [-8.535, -0.770, 1.013], [-2.814, -7.187, 3.860]],
  "species": ["Dy", "Dy", "Dy", "Dy", "Dy", "Dy", "Dy", "Dy", "Sc", "Sm", "Sm", "Sm", "Sm", "Sm", "Sm"],
  "fractional_positions": [[0.889, 0.279, 0.251], [0.423, 0.423, 0.423], [0.111, 0.721, 0.749], [0.577, 0.577, 0.577], [0.749, 0.111, 0.721], [0.721, 0.749, 0.111], [0.251, 0.889, 0.279], [0.279, 0.251, 0.889], [0.000, 0.000, 0.000], [0.773, 0.895, 0.458], [0.458, 0.773, 0.895], [0.105, 0.542, 0.227], [0.895, 0.458, 0.773], [0.227, 0.105, 0.542], [0.542, 0.227, 0.105]]
}


Model b:
{
  "formula": "Sm6Dy8Sc",
  "functional": "PBE-GGA",
  "state": "optimized geometry",
  "space_group": "R-3 (148)",
  "magnetic_moment_mub_per_fu": 0.00,
  "cell": [[-4.286, -5.831, -6.421], [4.916, -7.382, -3.865], [-1.613, -7.932, 0.991]],
  "species": ["Sc", "Dy", "Dy", "Dy", "Dy", "Dy", "Dy", "Dy", "Dy", "Sm", "Sm", "Sm", "Sm", "Sm", "Sm"],
  "fractional_positions": [[0.000, 0.000, 0.000], [0.585, 0.585, 0.244], [0.074, 0.648, 0.509], [0.352, 0.231, 0.491], [0.769, 0.074, 0.509], [0.415, 0.415, 0.756], [0.231, 0.926, 0.491], [0.926, 0.352, 0.491], [0.648, 0.769, 0.509], [0.076, 0.281, 0.032], [0.281, 0.612, 0.032], [0.719, 0.388, 0.968], [0.612, 0.076, 0.032], [0.388, 0.924, 0.968], [0.924, 0.719, 0.968]]
}


Stability summary: most stable model a, least stable model b.


Model a:
{
  "formula": "Sm2Dy6Sc",
  "functional": "PBE-GGA",
  "state": "optimized geometry",
  "space_group": "C2/c (15)",
  "magnetic_moment_mub_per_fu": 0.00,
  "cell": [[6.056, -0.102, -0.099], [1.113, 9.767, 1.459], [1.113, 1.775, 9.714]],
  "species": ["Dy", "Dy", "Dy", "Dy", "Dy", "Dy", "Dy", "Dy", "Dy", "Dy", "Dy", "Dy", "Sm", "Sm", "Sm", "Sm", "Sc", "Sc"],
  "fractional_positions": [[0.673, 0.244, 0.974], [0.327, 0.756, 0.026], [0.511, 0.310, 0.594], [0.860, 0.657, 0.934], [0.827, 0.026, 0.756], [0.640, 0.066, 0.343], [0.360, 0.934, 0.657], [0.173, 0.974, 0.244], [0.011, 0.594, 0.310], [0.140, 0.343, 0.066], [0.489, 0.690, 0.406], [0.989, 0.406, 0.690], [0.435, 0.569, 0.772], [0.065, 0.228, 0.431], [0.565, 0.431, 0.228], [0.935, 0.772, 0.569], [0.250, 0.102, 0.898], [0.750, 0.898, 0.102]]
}


Model b:
{
  "formula": "Sm2Dy6Sc",
  "functional": "PBE-GGA",
  "state": "optimized geometry",
  "space_group": "C2/m (12)",
  "magnetic_moment_mub_per_fu": 0.00,
  "cell": [[-3.145, -1.383, -0.195], [2.992, -7.579, 5.486], [-2.260, 8.716, 4.479]],
  "species": ["Dy", "Dy", "Dy", "Dy", "Dy", "Dy", "Sm", "Sm", "Sc"],
  "fractional_positions": [[0.500, 0.301, 0.000], [0.164, 0.349, 0.329], [0.836, 0.020, 0.671], [0.500, 0.699, 0.000], [0.164, 0.980, 0.329], [0.836, 0.651, 0.671], [0.334, 0.334, 0.667], [0.666, 0.666, 0.333], [0.000, 0.000, 0.000]]
}


Stability summary: most stable model a, least stable model b.


Model a:
{
  "formula": "SmDy6Sc4",
  "functional": "PBE-GGA",
  "state": "optimized geometry",
  "space_group": "Cmcm (63)",
  "magnetic_moment_mub_per_fu": 0.00,
  "cell": [[-0.471, 3.036, 4.530], [2.980, -4.563, 0.061], [20.146, 13.070, -6.666]],
  "species": ["Dy", "Dy", "Dy", "Dy", "Dy", "Dy", "Dy", "Dy", "Dy", "Dy", "Dy", "Dy", "Sc", "Sc", "Sc", "Sc", "Sc", "Sc", "Sc", "Sc", "Sm", "Sm"],
  "fractional_positions": [[0.828, 0.657, 0.403], [0.161, 0.322, 0.322], [0.495, 0.989, 0.250], [0.172, 0.343, 0.597], [0.161, 0.322, 0.178], [0.828, 0.657, 0.097], [0.500, 0.000, 0.000], [0.172, 0.343, 0.903], [0.505, 0.011, 0.750], [0.839, 0.678, 0.822], [0.500, 0.000, 0.500], [0.839, 0.678, 0.678], [0.836, 0.671, 0.543], [0.494, 0.988, 0.377], [0.836, 0.671, 0.957], [0.506, 0.012, 0.623], [0.164, 0.329, 0.043], [0.164, 0.329, 0.457], [0.506, 0.012, 0.877], [0.494, 0.988, 0.123], [0.172, 0.343, 0.750], [0.828, 0.657, 0.250]]
}


Model b:
{
  "formula": "SmDy6Sc4",
  "functional": "PBE-GGA",
  "state": "optimized geometry",
  "space_group": "P-6m2 (187)",
  "magnetic_moment_mub_per_fu": 0.00,
  "cell": [[5.244, 0.000, 0.000], [0.000, 8.683, 0.000], [0.000, -4.342, 7.520]],
  "species": ["Sc", "Sc", "Sc", "Sc", "Dy", "Dy", "Dy", "Dy", "Dy", "Dy", "Sm"],
  "fractional_positions": [[0.000, 0.333, 0.667], [0.500, 0.427, 0.214], [0.500, 0.786, 0.214], [0.500, 0.786, 0.573], [0.000, 0.933, 0.467], [0.000, 0.533, 0.067], [0.000, 0.533, 0.467], [0.500, 0.200, 0.800], [0.500, 0.200, 0.400], [0.500, 0.600, 0.800], [0.000, 0.000, 0.000]]
}


Stability summary: most stable model a, least stable model b.


Model a:
{
  "formula": "Sm3DySc3",
  "functional": "PBE-GGA",
  "state": "optimized geometry",
  "space_group": "R-3 (148)",
  "magnetic_moment_mub_per_fu": 0.00,
  "cell": [[8.407, 0.000, 0.000], [4.204, 7.281, 0.000], [4.204, 2.427, 6.952]],
  "species": ["Sm", "Sm", "Sm", "Sm", "Sm", "Sm", "Sc", "Sc", "Sc", "Sc", "Sc", "Sc", "Dy", "Dy"],
  "fractional_positions": [[0.941, 0.173, 0.187], [0.059, 0.827, 0.813], [0.827, 0.300, 0.813], [0.700, 0.941, 0.187], [0.300, 0.059, 0.813], [0.173, 0.700, 0.187], [0.729, 0.056, 0.636], [0.580, 0.729, 0.636], [0.420, 0.271, 0.364], [0.056, 0.580, 0.636], [0.944, 0.420, 0.364], [0.271, 0.944, 0.364], [0.355, 0.355, 0.935], [0.645, 0.645, 0.065]]
}


Model b:
{
  "formula": "Sm3DySc3",
  "functional": "PBE-GGA",
  "state": "optimized geometry",
  "space_group": "R-3 (148)",
  "magnetic_moment_mub_per_fu": 0.00,
  "cell": [[7.567, 0.411, 3.925], [2.564, 7.132, 3.925], [0.552, 0.411, 8.507]],
  "species": ["Sm", "Sm", "Sm", "Sm", "Sm", "Sm", "Dy", "Dy", "Sc", "Sc", "Sc", "Sc", "Sc", "Sc"],
  "fractional_positions": [[0.716, 0.566, 0.071], [0.284, 0.434, 0.929], [0.566, 0.071, 0.716], [0.929, 0.284, 0.434], [0.071, 0.716, 0.566], [0.434, 0.929, 0.284], [0.655, 0.655, 0.655], [0.345, 0.345, 0.345], [0.939, 0.723, 0.169], [0.061, 0.277, 0.831], [0.831, 0.061, 0.277], [0.277, 0.831, 0.061], [0.723, 0.169, 0.939], [0.169, 0.939, 0.723]]
}


Stability summary: most stable model b, least stable model a.